Arrangement i

An optimized crystal structure of PmYErZn. Source: Alexandria, functional PBE-GGA.

```
PmYErZn
1.0
5.3722 0.0000 0.0000
2.6861 4.6524 0.0000
2.6861 1.5508 4.3863
Pm Zn Y Er
1 1 1 1
Direct
0.2500 0.2500 0.2500 Pm
0.5000 0.5000 0.5000 Zn
0.7500 0.7500 0.7500 Y
0.0000 0.0000 0.0000 Er
```

Summary:
crystal system = cubic
space-group type = F-43m, No. 216
density of states at the Fermi level = 5.17 states/eV per cell

Arrangement ii

An optimized crystal structure of PmYErZn. Source: Alexandria, functional PBE-GGA.

```
PmYErZn
1.0
3.5735 0.0000 0.0000
0.0000 3.5735 0.0000
0.0000 0.0000 8.7163
Er Pm Zn Y
1 1 1 1
Direct
0.5000 0.5000 0.3692 Er
0.0000 0.0000 0.0751 Pm
0.0000 0.0000 0.5669 Zn
0.5000 0.5000 0.7735 Y
```

Summary:
crystal system = tetragonal
space-group type = P4mm, No. 99
density of states at the Fermi level = 4.63 states/eV per cell

What should be chosen as the most stable of them? Choose arrangement ii.

Arrangement i

An optimized crystal structure of Pm2ErZn. Source: Alexandria, functional PBE-GGA.

```
Pm2ErZn
1.0
4.9197 0.0000 -1.3644
-0.3784 4.9051 -1.3644
-0.0380 -0.0410 9.4148
Pm Er Zn
4 2 2
Direct
0.0000 0.5000 0.0000 Pm
0.3552 0.3552 0.7103 Pm
0.5000 0.0000 0.0000 Pm
0.6448 0.6448 0.2897 Pm
0.1496 0.1496 0.2993 Er
0.8504 0.8504 0.7007 Er
0.2500 0.7500 0.5000 Zn
0.7500 0.2500 0.5000 Zn
```

Summary:
crystal system = tetragonal
space-group type = I4/mmm, No. 139
density of states at the Fermi level = 8.85 states/eV per cell

Arrangement ii

An optimized crystal structure of Pm2ErZn. Source: Alexandria, functional PBE-GGA.

```
Pm2ErZn
1.0
3.4881 0.0000 0.0000
1.7441 3.0208 0.0000
1.7441 1.0069 11.9765
Pm Zn Er
2 1 1
Direct
0.0872 0.0872 0.7384 Pm
0.9128 0.9128 0.2616 Pm
0.0000 0.0000 0.0000 Zn
0.5000 0.5000 0.5000 Er
```

Summary:
crystal system = trigonal
space-group type = R-3m, No. 166
density of states at the Fermi level = 4.18 states/eV per cell

Arrangement iii

An optimized crystal structure of Pm2ErZn. Source: Alexandria, functional PBE-GGA.

```
Pm2ErZn
1.0
-4.6301 1.4184 -2.4065
-4.6381 -0.1206 2.7774
-2.4531 4.6208 1.3680
Pm Er Zn
2 1 1
Direct
0.2500 0.2500 0.2500 Pm
0.7500 0.7500 0.7500 Pm
0.0000 0.0000 0.0000 Er
0.5000 0.5000 0.5000 Zn
```

Summary:
crystal system = cubic
space-group type = Fm-3m, No. 225
density of states at the Fermi level = 4.92 states/eV per cell

What should be chosen as the most stable of them? Choose arrangement i.